LaThNiOs | the Alexandria database | PBE | optimized geometry; space-group type = F-43m (216); total magnetic moment = 0.0 μB/f.u.; energy = -7.51 eV per atom
1.0
7.091 0.000 0.000
0.000 7.091 0.000
0.000 0.000 7.091
La Th Ni Os
4 4 4 4
Direct
0.000 0.000 0.000
0.000 0.500 0.500
0.500 0.000 0.500
0.500 0.500 0.000
0.000 0.000 0.500
0.000 0.500 0.000
0.500 0.000 0.000
0.500 0.500 0.500
0.250 0.250 0.250
0.250 0.750 0.750
0.750 0.250 0.750
0.750 0.750 0.250
0.250 0.250 0.750
0.250 0.750 0.250
0.750 0.250 0.250
0.750 0.750 0.750

***

NdYSeI | the Alexandria database | PBE | optimized geometry; energy relative to the elements, uncorrected = -1.28 eV/atom; space-group type = Cm (8); total magnetic moment = 0.0 μB/f.u.; energy = -5.34 eV per atom
1.0
7.033 0.000 0.000
0.000 4.062 0.000
-2.334 0.000 8.011
Nd Y Se I
2 2 2 2
Direct
0.000 0.000 0.000
0.500 0.500 0.000
0.196 0.000 0.587
0.696 0.500 0.587
0.094 0.500 0.783
0.594 0.000 0.783
0.269 0.500 0.305
0.769 0.000 0.305

***

KNaIrRh2 | the Alexandria database | PBE | optimized geometry; space-group type = P4/mmm (123); total magnetic moment = 0.0 μB/f.u.; energy = -4.55 eV per atom
1.0
4.794 0.000 0.000
0.000 4.794 0.000
0.000 0.000 5.423
K Na Ir Rh
1 1 1 2
Direct
0.000 0.000 0.000
0.500 0.500 0.000
0.500 0.500 0.500
0.000 0.500 0.500
0.500 0.000 0.500

***

Pu4PaS5 | the Alexandria database | PBE | optimized geometry; energy relative to the elements, uncorrected = -1.71 eV/atom; space-group type = I4/m (87); total magnetic moment = 23.0 μB/f.u.; energy = -10.46 eV per atom
1.0
-4.405 4.405 2.783
4.405 -4.405 2.783
4.405 4.405 -2.783
Pu Pa S
4 1 5
Direct
0.099 0.701 0.800
0.299 0.099 0.399
0.701 0.901 0.601
0.901 0.299 0.200
0.500 0.500 0.000
0.000 0.000 0.000
0.200 0.400 0.600
0.400 0.800 0.200
0.600 0.200 0.800
0.800 0.600 0.400

***

Ba2GaGeP | the Alexandria database | PBE | optimized geometry; space-group type = P2_1/m (11); total magnetic moment = 0.0 μB/f.u.; energy = -4.09 eV per atom
1.0
7.901 0.000 0.000
0.000 4.423 0.000
-2.957 0.000 9.504
Ba Ga Ge P
4 2 2 2
Direct
0.201 0.250 0.407
0.231 0.250 0.959
0.769 0.750 0.041
0.799 0.750 0.593
0.484 0.750 0.259
0.516 0.250 0.741
0.338 0.750 0.701
0.662 0.250 0.299
0.177 0.750 0.176
0.823 0.250 0.824

***

PdS2Cl6 | the Alexandria database | PBE | optimized geometry; offset from the most stable computed form = 0.0000 eV per atom; energy relative to the elements, uncorrected = -0.29 eV/atom; space-group type = P-1 (2); total magnetic moment = 0.0 μB/f.u.; energy = -3.01 eV per atom
1.0
4.742 0.000 0.000
-0.128 6.980 0.000
-0.980 -2.006 8.139
Pd S Cl
1 2 6
Direct
0.000 0.000 0.000
0.286 0.222 0.204
0.714 0.778 0.796
0.074 0.477 0.213
0.247 0.174 0.429
0.290 0.128 0.841
0.710 0.872 0.159
0.753 0.826 0.571
0.926 0.523 0.787

***

Tb2HoTh4 | the Alexandria database | PBE | optimized geometry; offset from the most stable computed form = 0.8877 eV per atom; space-group type = I4/mmm (139); total magnetic moment = 0.0 μB/f.u.; energy = -5.25 eV per atom
1.0
5.678 0.000 0.000
0.000 5.678 0.000
0.000 0.000 16.356
Tb Ho Th
4 2 8
Direct
0.000 0.000 0.115
0.000 0.000 0.885
0.500 0.500 0.385
0.500 0.500 0.615
0.000 0.000 0.500
0.500 0.500 0.000
0.000 0.000 0.313
0.000 0.000 0.687
0.000 0.500 0.000
0.000 0.500 0.500
0.500 0.000 0.000
0.500 0.000 0.500
0.500 0.500 0.187
0.500 0.500 0.813

***

V5Ga4Ni | the Alexandria database | PBE | optimized geometry; space-group type = I4 (79); total magnetic moment = 0.0 μB/f.u.; energy = -6.00 eV per atom
1.0
-3.942 3.942 2.485
3.942 -3.942 2.485
3.942 3.942 -2.485
V Ga Ni
5 4 1
Direct
0.000 0.000 0.000
0.223 0.602 0.830
0.393 0.223 0.621
0.602 0.772 0.379
0.772 0.393 0.170
0.084 0.309 0.399
0.309 0.911 0.225
0.686 0.084 0.775
0.911 0.686 0.601
0.501 0.501 0.000

***

TiTlCrCl2 | the Alexandria database | PBE | optimized geometry; energy relative to the elements, uncorrected = -0.04 eV/atom; space-group type = P4/mmm (123); total magnetic moment = 5.1 μB/f.u.; energy = -4.75 eV per atom
1.0
4.636 0.000 0.000
0.000 4.636 0.000
0.000 0.000 6.102
Ti Tl Cr Cl
1 1 1 2
Direct
0.000 0.000 0.000
0.000 0.000 0.500
0.500 0.500 0.500
0.000 0.500 0.000
0.500 0.000 0.000

***

BiRu | the Alexandria database | PBE | optimized geometry; space-group type = F-43m (216); total magnetic moment = 0.0 μB/f.u.; energy = -5.70 eV per atom
1.0
6.091 0.000 0.000
0.000 6.091 0.000
0.000 0.000 6.091
Bi Ru
4 4
Direct
0.000 0.000 0.000
0.000 0.500 0.500
0.500 0.000 0.500
0.500 0.500 0.000
0.250 0.250 0.250
0.250 0.750 0.750
0.750 0.250 0.750
0.750 0.750 0.250

***

TbNp3As4 | the Alexandria database | PBE | optimized geometry; space-group type = Pm-3m (221); total magnetic moment = 11.8 μB/f.u.; energy = -8.65 eV per atom
1.0
5.819 0.000 0.000
0.000 5.819 0.000
0.000 0.000 5.819
Tb Np As
1 3 4
Direct
0.000 0.000 0.000
0.000 0.500 0.500
0.500 0.000 0.500
0.500 0.500 0.000
0.000 0.000 0.500
0.000 0.500 0.000
0.500 0.000 0.000
0.500 0.500 0.500

***

BaMg2Mo | the Alexandria database | PBE | optimized geometry; offset from the most stable computed form = 0.1584 eV per atom; space-group type = R-3m (166); total magnetic moment = 0.0 μB/f.u.; energy = -3.30 eV per atom
1.0
3.168 0.000 0.000
-1.584 2.744 0.000
0.000 0.000 33.545
Ba Mg Mo
3 6 3
Direct
0.000 0.000 0.000
0.333 0.667 0.667
0.667 0.333 0.333
0.000 0.000 0.235
0.000 0.000 0.765
0.333 0.667 0.432
0.333 0.667 0.901
0.667 0.333 0.099
0.667 0.333 0.568
0.000 0.000 0.500
0.333 0.667 0.167
0.667 0.333 0.833